Here is an optimized crystal structure of Ac2AgSeO6 from the Alexandria database. Energies are from PBE.

Values from the calculation:
The energy relative to the elements, uncorrected comes out at -1.792 eV/atom. The value obtained for the mass density is 7.9 Mg/m³. For the density of states at the Fermi level, the calculation gives 0.177 states/eV/atom.

a = 5.914 Å, b = 5.914 Å, c = 4.455 Å
α = 90.00°, β = 90.00°, γ = 90.00°
Sites, in units of the cell vectors:
Ac: 0.000 0.500 0.000
Ac: 0.500 0.000 0.000
Ag: 0.000 0.000 0.560
Se: 0.500 0.500 0.602
O: 0.000 0.000 0.073
O: 0.270 0.270 0.663
O: 0.270 0.730 0.663
O: 0.500 0.500 0.204
O: 0.730 0.270 0.663
O: 0.730 0.730 0.663

Here is an optimized crystal structure of NiPtBr2 from the Alexandria database. Energies are from PBE.

Values from the calculation:
The energy relative to the elements, uncorrected comes out at 0.453 eV/atom. The value obtained for the mass density is 7.7 Mg/m³. The energy relative to the lowest polymorph listed for this composition is 512 meV per atom. For the density of states at the Fermi level, the calculation gives 1.335 states/eV/atom.

a = 4.958 Å, b = 4.958 Å, c = 4.972 Å
α = 118.05°, β = 118.05°, γ = 93.01°
Sites, in units of the cell vectors:
Ni: 0.000 0.000 0.000
Pt: 0.500 0.500 0.000
Br: 0.000 0.500 0.500
Br: 0.500 0.000 0.500

Here is an optimized crystal structure of Dy2HoB6 from the Alexandria database. Energies are from PBE.

Values from the calculation:
The formation energy from the elements comes out at -0.576 eV per atom. The value obtained for the mass density is 8.5 Mg/m³. For the density of states at the Fermi level, the calculation gives 0.225 states/eV/atom.

a = 5.690 Å, b = 5.690 Å, c = 3.872 Å
α = 90.00°, β = 90.00°, γ = 120.00°
Sites, in units of the cell vectors:
Dy: 0.333 0.667 0.000
Dy: 0.667 0.333 0.000
Ho: 0.000 0.000 0.000
B: 0.000 0.333 0.500
B: 0.000 0.667 0.500
B: 0.333 0.000 0.500
B: 0.333 0.333 0.500
B: 0.667 0.000 0.500
B: 0.667 0.667 0.500

Here is an optimized crystal structure of P5Pt from the Alexandria database. Energies are from PBE.

Values from the calculation:
The formation energy from the elements comes out at 0.201 eV per atom. The value obtained for the mass density is 4.7 Mg/m³. The energy relative to the lowest polymorph listed for this composition is 264 meV per atom. For the density of states at the Fermi level, the calculation gives 0.553 states/eV/atom.

a = 5.509 Å, b = 5.509 Å, c = 7.454 Å
α = 96.25°, β = 96.25°, γ = 33.56°
Sites, in units of the cell vectors:
P: 0.000 0.000 0.000
P: 0.376 0.376 0.085
P: 0.513 0.513 0.579
P: 0.697 0.697 0.398
P: 0.716 0.716 0.690
Pt: 0.013 0.013 0.331